1.
The following is a GGA-PBE calculation of a relaxed structure of CoBPd, from OQMD.

Symmetry   F-43m, No. 216

Geometry as POSCAR:
```
CoBPd
1.0
3.082 -2.053 -0.673
-0.329 -3.586 -1.096
0.877 -0.978 -3.527
Pd Co B
1 1 1
direct
0.750 0.750 0.750 Pd
0.000 0.000 0.000 Co
0.250 0.250 0.250 B
```

2.
The following is a GGA-PBE calculation of a relaxed structure of CoBPd2, from OQMD.

Symmetry   F-43m, No. 216

Geometry as POSCAR:
```
CoBPd2
1.0
-0.118 -3.052 -2.740
-0.992 -3.796 1.199
-3.601 -1.625 -1.107
Co Pd B
1 2 1
direct
0.250 0.250 0.250 Co
0.750 0.750 0.750 Pd
0.000 0.000 0.000 Pd
0.500 0.500 0.500 B
```

| no. | calculated volume (Å³/atom) | uncorrected energy (eV per formula unit) |
| --- | --- | --- |
| 1 | 12.57 | -16.66 |
| 2 | 12.21 | -21.91 |